This record from the Alexandria database describes a relaxed structure of AlMo2As. The functional is GGA-PBE.

Summary:
**Energy above the lowest structure with this stoichiometry**: 329 meV/atom
**Energy of formation from the pure elements**: 0.112 eV per atom
**DOS at the Fermi energy**: 3.2 states/eV/cell
**Volume**: 15.7 Å³ per atom
**Total energy**: -29.607 eV per cell

Cell: 5.002 5.002 2.873 Å, 101.30 101.30 111.53°
Element x y z (fractional)
Al (0.000, 0.000, 0.000)
Mo (0.000, 0.500, 0.500)
Mo (0.500, 0.000, 0.500)
As (0.500, 0.500, 0.000)